This record from the Alexandria database describes a geometry-optimized ThZn2In structure. The functional is PBE.

ΔH_f (0 K) in eV/atom: -0.10
Spin magnetization in μB per cell: 0.00
Electronic total energy in eV per cell: -13.1

Cell: 3.556 3.556 7.119 Å, 90.00 90.00 90.00°
Atoms (fractional coordinates):
Th (0.000, 0.000, 0.000)
Zn (0.500, 0.500, 0.278)
Zn (0.500, 0.500, 0.722)
In (0.000, 0.000, 0.500)

=====

This record from the Alexandria database describes a geometry-optimized Th3Zn2In4 structure. The functional is PBE.

ΔH_f (0 K) in eV/atom: -0.30
Spin magnetization in μB per cell: 0.00
Electronic total energy in eV per cell: -38.5

Cell: 6.139 6.139 9.183 Å, 112.17 112.17 46.47°
Atoms (fractional coordinates):
Th (0.000, 0.000, 0.000)
Th (0.334, 0.334, 0.335)
Th (0.666, 0.666, 0.665)
Zn (0.396, 0.396, 0.724)
Zn (0.604, 0.604, 0.276)
In (0.064, 0.064, 0.391)
In (0.288, 0.288, 0.944)
In (0.712, 0.712, 0.056)
In (0.936, 0.936, 0.609)

=====

This record from the Alexandria database describes a geometry-optimized ThZrZnIn structure. The functional is PBE.

ΔH_f (0 K) in eV/atom: -0.11
Spin magnetization in μB per cell: 0.74
Electronic total energy in eV per cell: -20.4

Cell: 5.155 5.155 5.155 Å, 60.00 60.00 60.00°
Atoms (fractional coordinates):
Th (0.000, 0.000, 0.000)
Zr (0.500, 0.500, 0.500)
Zn (0.250, 0.250, 0.250)
In (0.750, 0.750, 0.750)

=====

This record from the Alexandria database describes a geometry-optimized ThZr2In structure. The functional is PBE.

ΔH_f (0 K) in eV/atom: -0.16
Spin magnetization in μB per cell: 0.00
E above lowest polymorph in meV per atom: 0
Electronic total energy in eV per cell: -27.9

Cell: 4.769 4.769 4.354 Å, 90.00 90.00 90.00°
Atoms (fractional coordinates):
Th (0.000, 0.000, 0.000)
Zr (0.000, 0.500, 0.500)
Zr (0.500, 0.000, 0.500)
In (0.500, 0.500, 0.000)

=====

This record from the Alexandria database describes a geometry-optimized ThZr2In structure. The functional is PBE.

ΔH_f (0 K) in eV/atom: -0.11
Spin magnetization in μB per cell: 0.00
E above lowest polymorph in meV per atom: 51
Electronic total energy in eV per cell: -27.7

Cell: 3.715 3.715 7.119 Å, 90.00 90.00 90.00°
Atoms (fractional coordinates):
Th (0.000, 0.000, 0.000)
Zr (0.500, 0.500, 0.268)
Zr (0.500, 0.500, 0.732)
In (0.000, 0.000, 0.500)

=====

This record from the Alexandria database describes a geometry-optimized ThZr5In4 structure. The functional is PBE.

ΔH_f (0 K) in eV/atom: -0.17
Spin magnetization in μB per cell: 0.00
Electronic total energy in eV per cell: -62.9

Cell: 3.779 3.779 16.356 Å, 90.00 90.00 90.00°
Atoms (fractional coordinates):
Th (0.000, 0.000, 0.000)
Zr (0.500, 0.500, 0.118)
Zr (0.500, 0.500, 0.311)
Zr (0.500, 0.500, 0.500)
Zr (0.500, 0.500, 0.689)
Zr (0.500, 0.500, 0.882)
In (0.000, 0.000, 0.211)
In (0.000, 0.000, 0.405)
In (0.000, 0.000, 0.595)
In (0.000, 0.000, 0.789)

=====

This record from the Alexandria database describes a geometry-optimized ThZrIn4 structure. The functional is PBE.

ΔH_f (0 K) in eV/atom: -0.12
Spin magnetization in μB per cell: 0.00
Electronic total energy in eV per cell: -27.6

Cell: 5.948 5.948 5.948 Å, 60.00 60.00 60.00°
Atoms (fractional coordinates):
Th (0.000, 0.000, 0.000)
Zr (0.250, 0.250, 0.250)
In (0.126, 0.625, 0.625)
In (0.625, 0.126, 0.625)
In (0.625, 0.625, 0.126)
In (0.625, 0.625, 0.625)

=====

This record from the Alexandria database describes a geometry-optimized ThZr12In3 structure. The functional is PBE.

ΔH_f (0 K) in eV/atom: -0.16
Spin magnetization in μB per cell: 0.00
Electronic total energy in eV per cell: -120.8

Cell: 4.476 4.476 18.381 Å, 90.00 90.00 90.00°
Atoms (fractional coordinates):
Th (0.000, 0.000, 0.000)
Zr (0.000, 0.500, 0.133)
Zr (0.000, 0.500, 0.379)
Zr (0.000, 0.500, 0.621)
Zr (0.000, 0.500, 0.867)
Zr (0.500, 0.000, 0.133)
Zr (0.500, 0.000, 0.379)
Zr (0.500, 0.000, 0.621)
Zr (0.500, 0.000, 0.867)
Zr (0.500, 0.500, 0.000)
Zr (0.500, 0.500, 0.256)
Zr (0.500, 0.500, 0.500)
Zr (0.500, 0.500, 0.744)
In (0.000, 0.000, 0.256)
In (0.000, 0.000, 0.500)
In (0.000, 0.000, 0.744)

=====

Question: Which of these has the highest spin magnetization?
Answer: ThZrZnIn